The following is a DFT calculation (PBE) of La2IO after structural relaxation.

The structure in POSCAR format:
```
La2IO
1.0
-4.8845 5.7716 -1.6377
-2.0042 -3.5603 -6.5695
-6.2685 -0.7540 -2.2342
I O La
2 2 4
Cartesian
0.0000 0.0000 0.0000
-7.2986 3.0616 -3.9878
-3.4444 1.1056 -4.1036
-5.8585 -1.6044 -6.4536
-4.2727 2.2673 -2.2029
-4.0281 -0.9859 -5.0696
-7.5299 -0.1720 -5.5573
-10.4837 1.8051 -8.0529
```

E_tot = -5.8278 eV/atom
theoretical density = 6.04 g cm⁻³
M_tot = 1.000 μB per formula unit
DOS at the Fermi energy = 1.816 states/eV/f.u.
SG = I-42d (122)

---

The following is a DFT calculation (PBE) of Dy3AsI3 after structural relaxation.

The structure in POSCAR format:
```
Dy3AsI3
1.0
9.8578 0.0000 -3.4853
-4.9289 8.5371 -3.4853
0.0000 0.0000 10.4558
Dy As I
12 4 12
Cartesian
7.1056 4.1024 -2.6139
4.9289 0.3322 0.8713
2.3685 0.1661 4.0853
5.9693 6.4028 -5.8280
8.5297 1.9682 0.6001
7.4893 0.1661 -2.3427
4.9289 3.9363 0.8713
3.8885 6.4028 -2.8852
3.9844 2.3004 -2.6139
1.3281 1.9682 1.1426
5.8734 2.3004 4.3566
2.7522 4.1024 4.3566
4.9289 4.2686 -4.3566
3.6967 2.1343 2.6139
6.1611 2.1343 -0.8713
0.0000 0.0000 2.6139
-2.4957 8.4830 6.0108
3.6654 6.4569 2.5256
1.1385 6.3487 6.0992
-1.1697 2.1343 9.4961
-1.1385 6.3487 -0.8713
2.3707 4.3227 -0.8713
1.1697 2.1343 6.1876
0.0000 4.3768 2.6139
2.4957 8.4830 -0.7830
-2.3707 4.3227 6.0992
-3.6654 6.4569 2.7023
0.0000 8.4289 2.6139
```

E_tot = -4.5524 eV/atom
theoretical density = 7.12 g cm⁻³
M_tot = 0.000 μB per formula unit
DOS at the Fermi energy = 2.562 states/eV/f.u.
SG = I4_132 (214)

---

The following is a DFT calculation (PBE) of Sr2Cd2Ge after structural relaxation.

The structure in POSCAR format:
```
Sr2Cd2Ge
1.0
4.7015 0.0000 0.0000
2.3507 5.8245 -0.4020
2.3507 0.2087 10.9161
Sr Cd Ge
4 4 2
Cartesian
4.7015 1.8716 3.6041
7.0522 1.7751 9.5054
4.7015 4.1615 6.9101
2.3507 4.2580 1.0088
2.3507 1.5998 5.9446
7.0522 5.1431 9.3273
7.0522 4.4333 4.5696
2.3507 0.8901 1.1869
4.7014 0.7430 7.2553
4.7015 5.2901 3.2589
```

ΔE_f = -0.409 eV per atom
theoretical density = 5.24 g cm⁻³
M_tot = 0.000 μB per formula unit
DOS at the Fermi energy = 2.020 states/eV/f.u.
SG = C2/m (12)

---

The following is a DFT calculation (PBE) of AcCu2Si after structural relaxation.

The structure in POSCAR format:
```
AcCu2Si
1.0
-4.0903 -0.3545 -0.6173
-1.5629 -3.4996 -1.5960
-2.4572 -3.2832 4.2054
Ac Si Cu
1 1 2
Cartesian
0.0000 0.0000 0.0000
-4.0552 -3.5687 0.9961
-5.9913 -5.0338 0.7047
-2.1191 -2.1035 1.2875
```

E_tot = -4.7854 eV/atom
theoretical density = 7.93 g cm⁻³
M_tot = 0.000 μB per formula unit
DOS at the Fermi energy = 2.579 states/eV/f.u.
SG = R-3m (166)

---

The following is a DFT calculation (PBE) of LiCuRu2 after structural relaxation.

The structure in POSCAR format:
```
LiCuRu2
1.0
-1.6146 -1.3568 3.4952
3.1523 -1.4799 0.8817
0.9740 3.0478 1.6331
Cu Li Ru
1 1 2
Cartesian
0.7689 -1.4184 2.1884
-0.3203 0.8455 2.5641
0.0000 0.0000 0.0000
2.0632 0.7839 1.2574
```

ΔE_f = 0.306 eV per atom
theoretical density = 8.59 g cm⁻³
M_tot = 0.002 μB per formula unit
DOS at the Fermi energy = 5.461 states/eV/f.u.
SG = P4/mmm (123)

---

The following is a DFT calculation (PBE) of LaSm2InN after structural relaxation.

The structure in POSCAR format:
```
LaSm2InN
1.0
5.0769 0.0000 0.0000
0.0000 4.9984 0.0000
0.0000 0.0000 4.9984
La Sm In N
1 2 1 1
Cartesian
2.5385 0.0000 0.0000
0.0000 0.0000 2.4992
0.0000 2.4992 0.0000
2.5385 2.4992 2.4992
0.0000 0.0000 0.0000
```

E_tot = -5.9758 eV/atom
theoretical density = 7.44 g cm⁻³
M_tot = 0.000 μB per formula unit
DOS at the Fermi energy = 2.756 states/eV/f.u.
SG = P4/mmm (123)

---

The following is a DFT calculation (PBE) of Ru2IO after structural relaxation.

The structure in POSCAR format:
```
Ru2IO
1.0
0.0000 3.0623 3.0623
3.0623 0.0000 3.0623
3.0623 3.0623 0.0000
I Ru O
1 2 1
Cartesian
3.0623 3.0623 3.0623
1.5311 1.5311 1.5311
4.5934 4.5934 4.5934
0.0000 0.0000 0.0000
```

E_tot = -5.5078 eV/atom
theoretical density = 9.98 g cm⁻³
M_tot = 0.000 μB per formula unit
DOS at the Fermi energy = 6.050 states/eV/f.u.
SG = Fm-3m (225)

---

The following is a DFT calculation (PBE) of Ag2PtS after structural relaxation.

The structure in POSCAR format:
```
Ag2PtS
1.0
-1.8236 1.8152 7.0117
-1.2390 -7.2021 1.5422
0.9312 -2.9649 4.9877
S Ag Pt
2 4 2
Cartesian
-1.5313 -2.6935 4.2770
-0.9196 -6.4303 5.4034
-1.0091 -0.5596 5.6190
-0.8223 -4.9631 3.2903
-0.4860 -4.4523 6.9931
-1.9455 -6.7288 11.1808
0.0000 0.0000 0.0000
-1.2119 -1.9216 8.1382
```

E_tot = -3.7020 eV/atom
theoretical density = 10.23 g cm⁻³
M_tot = 0.000 μB per formula unit
DOS at the Fermi energy = 1.136 states/eV/f.u.
SG = I-42d (122)